[1]
VASP calculation (PBE) on crystalline Ba3P at its relaxed geometry.

It has space group R-3m (No. 166, hexagonal axes), with a = 11.2807 Å, b = 11.2807 Å, c = 4.2650 Å, α = 90.00°, β = 90.00° and γ = 120.00°. Symmetry generates all atoms from Ba at (0.0000, 0.5000, 0.0000) and P at (0.0000, 0.0000, 0.0000).

Its distance to the lowest polymorph of the same formula is 0.550 eV/atom. The calculated formation energy is -0.1 eV per formula unit. As for the uncorrected energy: -2.828 eV per atom.



[2]
VASP calculation (PBE) on crystalline NiSb2Cl at its relaxed geometry.

It has space group R-3m (No. 166, hexagonal axes), with a = 3.9636 Å, b = 3.9636 Å, c = 20.7804 Å, α = 90.00°, β = 90.00° and γ = 120.00°. Symmetry generates all atoms from Ni at (0.0000, 0.0000, 0.0000), Sb at (0.0000, 0.0000, 0.2772) and Cl at (0.0000, 0.0000, 0.5000).

Its distance to the lowest polymorph of the same formula is 0.042 eV/atom. As for the uncorrected energy: -4.228 eV per atom. For the uncorrected formation energy, the calculation gives -260 meV per atom.



[3]
VASP calculation (PBE) on crystalline YTlCr4 at its relaxed geometry.

It has space group F-43m (No. 216), with a = 7.251 Å, b = 7.251 Å, c = 7.251 Å, α = 90.00°, β = 90.00° and γ = 90.00°. Symmetry generates all atoms from Y at (0.000, 0.000, 0.000), Tl at (0.250, 0.250, 0.250) and Cr at (0.123, 0.123, 0.623).

The calculated formation energy is 2.6 eV per formula unit. As for the uncorrected energy: -7.451 eV per atom.



[4]
VASP calculation (PBE) on crystalline La3ErTh4Se8 at its relaxed geometry.

It has space group R-3m (No. 166, hexagonal axes), with a = 8.3345 Å, b = 8.3345 Å, c = 21.2425 Å, α = 90.00°, β = 90.00° and γ = 120.00°. Symmetry generates all atoms from La at (0.0000, 0.5000, 0.0000), Er at (0.0000, 0.0000, 0.0000), Th at (0.0000, 0.0000, 0.5000), Th at (0.0000, 0.5000, 0.5000), Se at (0.0000, 0.0000, 0.2490) and Se at (0.0105, 0.5053, 0.7486).

As for the uncorrected energy: -6.528 eV per atom. For the uncorrected formation energy, the calculation gives -1722 meV per atom.



[5]
VASP calculation (PBE) on crystalline La6TmTl at its relaxed geometry.

It has space group P4/mmm (No. 123), with a = 5.119 Å, b = 5.119 Å, c = 10.372 Å, α = 90.00°, β = 90.00° and γ = 90.00°. Symmetry generates all atoms from La at (0.000, 0.000, 0.000), La at (0.000, 0.000, 0.500), La at (0.000, 0.500, 0.247), Tm at (0.500, 0.500, 0.500) and Tl at (0.500, 0.500, 0.000).

Its distance to the lowest polymorph of the same formula is 0.000 eV/atom. The calculated formation energy is -0.8 eV per formula unit. As for the uncorrected energy: -4.653 eV per atom.



[6]
VASP calculation (PBE) on crystalline TbTh2Sc at its relaxed geometry.

It has space group R3m (No. 160, hexagonal axes), with a = 3.5105 Å, b = 3.5105 Å, c = 33.9659 Å, α = 90.00°, β = 90.00° and γ = 120.00°. Symmetry generates all atoms from Tb at (0.0000, 0.0000, 0.0000), Th at (0.0000, 0.0000, 0.5825), Th at (0.0000, 0.0000, 0.7548) and Sc at (0.0000, 0.0000, 0.1702).

Its distance to the lowest polymorph of the same formula is 0.011 eV/atom. The calculated formation energy is 0.2 eV per formula unit. As for the uncorrected energy: -6.394 eV per atom.



[7]
VASP calculation (PBE) on crystalline LiCrIr2 at its relaxed geometry.

It has space group Cmmm (No. 65), with a = 2.784 Å, b = 4.555 Å, c = 8.724 Å, α = 90.00°, β = 90.00° and γ = 90.00°. Symmetry generates all atoms from Li at (0.000, 0.000, 0.000), Cr at (0.000, 0.000, 0.500) and Ir at (0.000, 0.500, 0.257).

The calculated formation energy is 0.1 eV per formula unit. As for the uncorrected energy: -7.300 eV per atom.



[8]
VASP calculation (PBE) on crystalline Zr2TcSbH at its relaxed geometry.

It has space group P4/mmm (No. 123), with a = 4.444 Å, b = 4.444 Å, c = 4.073 Å, α = 90.00°, β = 90.00° and γ = 90.00°. Symmetry generates all atoms from Zr at (0.000, 0.500, 0.000), Tc at (0.000, 0.000, 0.500), Sb at (0.500, 0.500, 0.500) and H at (0.000, 0.000, 0.000).

As for the uncorrected energy: -7.357 eV per atom.



[9]
VASP calculation (PBE) on crystalline TiSiNi2 at its relaxed geometry.

It has space group P2/m (No. 10), with a = 2.653 Å, b = 3.853 Å, c = 4.999 Å, α = 90.00°, β = 100.52° and γ = 90.00°. Symmetry generates all atoms from Ti at (0.000, 0.000, 0.000), Si at (0.500, 0.000, 0.500) and Ni at (0.352, 0.500, 0.739).

As for the uncorrected energy: -6.648 eV per atom. For the uncorrected formation energy, the calculation gives -428 meV per atom.



[10]
VASP calculation (PBE) on crystalline Re2Tc2Pd at its relaxed geometry.

It has space group Immm (No. 71), with a = 4.370 Å, b = 5.915 Å, c = 6.104 Å, α = 90.00°, β = 90.00° and γ = 90.00°. Symmetry generates all atoms from Re at (0.000, 0.203, 0.000), Tc at (0.000, 0.500, 0.303) and Pd at (0.000, 0.000, 0.500).

The calculated formation energy is 1.7 eV per formula unit. As for the uncorrected energy: -9.829 eV per atom.



[11]
VASP calculation (PBE) on crystalline BaAcPbI at its relaxed geometry.

It has space group F-43m (No. 216), with a = 8.508 Å, b = 8.508 Å, c = 8.508 Å, α = 90.00°, β = 90.00° and γ = 90.00°. Symmetry generates all atoms from Ba at (0.000, 0.000, 0.000), Ac at (0.000, 0.000, 0.500), Pb at (0.250, 0.250, 0.750) and I at (0.250, 0.250, 0.250).

As for the uncorrected energy: -3.619 eV per atom. For the uncorrected formation energy, the calculation gives -797 meV per atom.



[12]
VASP calculation (PBE) on crystalline Li2CrSi at its relaxed geometry.

It has space group P4mm (No. 99), with a = 2.549 Å, b = 2.549 Å, c = 8.526 Å, α = 90.00°, β = 90.00° and γ = 90.00°. Symmetry generates all atoms from Li at (0.000, 0.000, 0.000), Li at (0.500, 0.500, 0.305), Cr at (0.500, 0.500, 0.745) and Si at (0.000, 0.000, 0.539).

As for the uncorrected energy: -4.642 eV per atom. For the uncorrected formation energy, the calculation gives 76 meV per atom.



[13]
VASP calculation (PBE) on crystalline GaTePtN2 at its relaxed geometry.

It has space group P4/mmm (No. 123), with a = 3.816 Å, b = 3.816 Å, c = 8.705 Å, α = 90.00°, β = 90.00° and γ = 90.00°. Symmetry generates all atoms from Ga at (0.000, 0.000, 0.000), Te at (0.500, 0.500, 0.000), Pt at (0.500, 0.500, 0.500) and N at (0.000, 0.500, 0.500).

Its distance to the lowest polymorph of the same formula is 0.000 eV/atom. As for the uncorrected energy: -4.754 eV per atom. For the uncorrected formation energy, the calculation gives 1018 meV per atom.



[14]
VASP calculation (PBE) on crystalline Ca4ScSe at its relaxed geometry.

It has space group F-43m (No. 216), with a = 9.469 Å, b = 9.469 Å, c = 9.469 Å, α = 90.00°, β = 90.00° and γ = 90.00°. Symmetry generates all atoms from Ca at (0.124, 0.124, 0.124), Sc at (0.250, 0.250, 0.750) and Se at (0.000, 0.000, 0.500).

As for the uncorrected energy: -2.707 eV per atom. For the uncorrected formation energy, the calculation gives 263 meV per atom.



[15]
VASP calculation (PBE) on crystalline VGaCuPt at its relaxed geometry.

It has space group F-43m (No. 216), with a = 6.096 Å, b = 6.096 Å, c = 6.096 Å, α = 90.00°, β = 90.00° and γ = 90.00°. Symmetry generates all atoms from V at (0.000, 0.000, 0.000), Ga at (0.000, 0.000, 0.500), Cu at (0.250, 0.250, 0.250) and Pt at (0.250, 0.250, 0.750).

The calculated formation energy is -1.0 eV per formula unit. As for the uncorrected energy: -5.830 eV per atom.



[16]
VASP calculation (PBE) on crystalline PmCoP2Rh at its relaxed geometry.

It has space group I-4m2 (No. 119), with a = 3.982 Å, b = 3.982 Å, c = 9.759 Å, α = 90.00°, β = 90.00° and γ = 90.00°. Symmetry generates all atoms from Pm at (0.000, 0.000, 0.000), Co at (0.000, 0.500, 0.750), P at (0.000, 0.000, 0.378) and Rh at (0.000, 0.500, 0.250).

The calculated formation energy is -5.0 eV per formula unit. As for the uncorrected energy: -7.005 eV per atom.



[17]
VASP calculation (PBE) on crystalline BeS2Cl at its relaxed geometry.

It has space group R-3m (No. 166, hexagonal axes), with a = 3.4096 Å, b = 3.4096 Å, c = 20.7348 Å, α = 90.00°, β = 90.00° and γ = 120.00°. Symmetry generates all atoms from Be at (0.0000, 0.0000, 0.0000), S at (0.0000, 0.0000, 0.3884) and Cl at (0.0000, 0.0000, 0.5000).

Its distance to the lowest polymorph of the same formula is 0.000 eV/atom. As for the uncorrected energy: -3.537 eV per atom. For the uncorrected formation energy, the calculation gives -80 meV per atom.



[18]
VASP calculation (PBE) on crystalline Sm6Ir2RhBr3 at its relaxed geometry.

It has space group C2/m (No. 12), with a = 7.112 Å, b = 12.321 Å, c = 8.086 Å, α = 90.00°, β = 107.04° and γ = 90.00°. Symmetry generates all atoms from Sm at (0.231, 0.000, 0.194), Sm at (0.232, 0.333, 0.194), Ir at (0.000, 0.167, 0.000), Rh at (0.000, 0.500, 0.000), Br at (0.000, 0.000, 0.500) and Br at (0.000, 0.333, 0.500).

As for the uncorrected energy: -5.967 eV per atom. For the uncorrected formation energy, the calculation gives -1100 meV per atom.



[19]
VASP calculation (PBE) on crystalline CoHgP2 at its relaxed geometry.

It has space group I-42d (No. 122), with a = 5.555 Å, b = 5.555 Å, c = 10.391 Å, α = 90.00°, β = 90.00° and γ = 90.00°. Symmetry generates all atoms from Co at (0.000, 0.000, 0.000), Hg at (0.000, 0.000, 0.500) and P at (0.167, 0.250, 0.125).

The calculated formation energy is 0.4 eV per formula unit. As for the uncorrected energy: -4.457 eV per atom.



[20]
VASP calculation (PBE) on crystalline Cd3CuOs at its relaxed geometry.

It has space group Pm-3m (No. 221), with a = 5.193 Å, b = 5.193 Å, c = 5.193 Å, α = 90.00°, β = 90.00° and γ = 90.00°. Symmetry generates all atoms from Cd at (0.000, 0.000, 0.500), Cu at (0.500, 0.500, 0.500) and Os at (0.000, 0.000, 0.000).

Its distance to the lowest polymorph of the same formula is 0.000 eV/atom. The calculated formation energy is 5.7 eV per formula unit. As for the uncorrected energy: -2.470 eV per atom.